# HgRh2Se, PBEsol geometry, DFT meta-GGA SCAN
# Spin magnetization = 0.0 μB per formula unit
# DFT total energy = -38.894 eV per atom
data_HgRh2Se
_chemical_formula_sum 'Hg1 Rh2 Se1'
_space_group_name_H-M_alt 'P 4/m m m'
_space_group_IT_number 123
_space_group_name_Hall '-P 4 2'
_cell_length_a 3.022
_cell_length_b 3.022
_cell_length_c 6.885
_cell_angle_alpha 90.00
_cell_angle_beta 90.00
_cell_angle_gamma 90.00
loop_
_atom_site_label
_atom_site_type_symbol
_atom_site_fract_x
_atom_site_fract_y
_atom_site_fract_z
Hg1 Hg 0.000 0.000 0.000
Rh1 Rh 0.500 0.500 0.285
Se1 Se 0.000 0.000 0.500